# 1
Material: NpP2Pd5
Method: DFT, PBE-GGA
State: relaxed

Results
DFT formation energy: -50 kJ/mol of atoms
Space group: Immm (71)
Crystal system: orthorhombic

a = 6.1502 Å, b = 6.1502 Å, c = 6.1502 Å
α = 141.47°, β = 109.42°, γ = 83.41°
Atoms (fractional coordinates):
Np 0.0000 0.0000 0.0000
P 0.2429 0.7429 0.5000
P 0.7571 0.2571 0.5000
Pd 0.1501 0.3461 0.8040
Pd 0.4578 0.6539 0.8040
Pd 0.5000 0.0000 0.5000
Pd 0.5422 0.3461 0.1960
Pd 0.8499 0.6539 0.1960



# 2
Material: Pr3ErHg4
Method: DFT, PBE-GGA
State: relaxed

Results
DFT formation energy: -32 kJ/mol of atoms
Offset from the most stable computed form: 0.142 eV per atom
Space group: Immm (71)
Crystal system: orthorhombic

a = 9.1693 Å, b = 9.1693 Å, c = 9.1693 Å
α = 155.30°, β = 129.96°, γ = 56.58°
Atoms (fractional coordinates):
Pr 0.0000 0.0000 0.0000
Pr 0.2997 0.7997 0.5000
Pr 0.7003 0.2003 0.5000
Er 0.5000 0.5000 0.0000
Hg 0.0781 0.3721 0.7061
Hg 0.3340 0.6279 0.7061
Hg 0.6660 0.3721 0.2939
Hg 0.9219 0.6279 0.2939



# 3
Material: NbTc2S2
Method: DFT, PBE-GGA
State: relaxed

Results
Uncorrected formation energy: 0.087 eV per atom
Offset from the most stable computed form: 0.154 eV per atom
Space group: I4/mmm (139)
Crystal system: tetragonal

a = 5.6411 Å, b = 5.6411 Å, c = 5.6411 Å
α = 137.87°, β = 137.87°, γ = 61.10°
Atoms (fractional coordinates):
Nb 0.0000 0.0000 0.0000
Tc 0.2500 0.7500 0.5000
Tc 0.7500 0.2500 0.5000
S 0.3650 0.3650 0.0000
S 0.6350 0.6350 0.0000



# 4
Material: CuTe
Method: DFT, PBE-GGA
State: relaxed

Results
Uncorrected formation energy: 0.300 eV per atom
Space group: Cmmm (65)
Crystal system: orthorhombic

a = 3.5546 Å, b = 3.5546 Å, c = 3.8503 Å
α = 90.00°, β = 90.00°, γ = 116.06°
Atoms (fractional coordinates):
Cu 0.0000 0.0000 0.0000
Te 0.5000 0.5000 0.5000



# 5
Material: ThZrCo
Method: DFT, PBE-GGA
State: relaxed

Results
DFT formation energy: 0 kJ/mol of atoms
Offset from the most stable computed form: 0.117 eV per atom
Space group: Cmce (64)
Crystal system: orthorhombic

a = 5.3196 Å, b = 5.3196 Å, c = 10.1066 Å
α = 90.00°, β = 90.00°, γ = 80.26°
Atoms (fractional coordinates):
Th 0.2125 0.2125 0.0000
Th 0.2875 0.2875 0.5000
Th 0.7125 0.7125 0.5000
Th 0.7875 0.7875 0.0000
Zr 0.1824 0.8176 0.7298
Zr 0.3176 0.6824 0.2298
Zr 0.6824 0.3176 0.7702
Zr 0.8176 0.1824 0.2702
Co 0.1845 0.8155 0.4653
Co 0.3155 0.6845 0.9653
Co 0.6845 0.3155 0.0347
Co 0.8155 0.1845 0.5347



# 6
Material: La3Dy8Y3
Method: DFT, PBE-GGA
State: relaxed

Results
DFT formation energy: 10 kJ/mol of atoms
Space group: Immm (71)
Crystal system: orthorhombic

a = 9.7602 Å, b = 9.7602 Å, c = 9.7602 Å
α = 145.98°, β = 112.31°, γ = 77.97°
Atoms (fractional coordinates):
La 0.0000 0.0000 0.0000
La 0.1860 0.6860 0.5000
La 0.8140 0.3140 0.5000
Dy 0.1185 0.2801 0.8384
Dy 0.2396 0.8982 0.3414
Dy 0.4417 0.2801 0.1616
Dy 0.4431 0.1018 0.3414
Dy 0.5569 0.8982 0.6586
Dy 0.5583 0.7199 0.8384
Dy 0.7604 0.1018 0.6586
Dy 0.8815 0.7199 0.1616
Y 0.2016 0.5000 0.7016
Y 0.5000 0.5000 0.0000
Y 0.7984 0.5000 0.2984



# 7
Material: CaAc2Pd9
Method: DFT, PBE-GGA
State: relaxed

Results
DFT formation energy: -62 kJ/mol of atoms
Offset from the most stable computed form: 0.000 eV per atom
Space group: P4/mmm (123)
Crystal system: tetragonal

a = 4.2835 Å, b = 4.2835 Å, c = 12.5939 Å
α = 90.00°, β = 90.00°, γ = 90.00°
Atoms (fractional coordinates):
Ca 0.0000 0.0000 0.0000
Ac 0.0000 0.0000 0.3265
Ac 0.0000 0.0000 0.6735
Pd 0.0000 0.5000 0.1589
Pd 0.0000 0.5000 0.5000
Pd 0.0000 0.5000 0.8411
Pd 0.5000 0.0000 0.1589
Pd 0.5000 0.0000 0.5000
Pd 0.5000 0.0000 0.8411
Pd 0.5000 0.5000 0.0000
Pd 0.5000 0.5000 0.3307
Pd 0.5000 0.5000 0.6693



# 8
Material: TlHgCl
Method: DFT, PBE-GGA
State: relaxed

Results
Uncorrected formation energy: -0.591 eV per atom
Offset from the most stable computed form: 0.054 eV per atom
Space group: P3m1 (156)
Crystal system: trigonal

a = 4.6359 Å, b = 4.6359 Å, c = 5.9140 Å
α = 90.00°, β = 90.00°, γ = 120.00°
Atoms (fractional coordinates):
Tl 0.0000 0.0000 0.0000
Hg 0.3333 0.6667 0.6285
Cl 0.6667 0.3333 0.2417



# 9
Material: CsScP2H2O8
Method: DFT, PBE-GGA
State: relaxed

Results
Calculated total energy: -96.70 eV per formula unit
Space group: P2_1/c (14)
Crystal system: monoclinic

a = 5.4253 Å, b = 9.3345 Å, c = 14.9057 Å
α = 90.00°, β = 94.64°, γ = 90.00°
Atoms (fractional coordinates):
Cs 0.2315 0.0049 0.3891
Cs 0.2315 0.4951 0.8891
Cs 0.7685 0.5049 0.1109
Cs 0.7685 0.9951 0.6109
Sc 0.2467 0.0354 0.8493
Sc 0.2467 0.4646 0.3493
Sc 0.7533 0.5354 0.6507
Sc 0.7533 0.9646 0.1507
P 0.2229 0.1506 0.0612
P 0.2229 0.3494 0.5612
P 0.2744 0.7469 0.1930
P 0.2744 0.7531 0.6930
P 0.7256 0.2469 0.3070
P 0.7256 0.2531 0.8070
P 0.7771 0.6506 0.4388
P 0.7771 0.8494 0.9388
H 0.2420 0.7082 0.5475
H 0.2420 0.7918 0.0475
H 0.3395 0.2008 0.6718
H 0.3395 0.2992 0.1718
H 0.6605 0.7008 0.8282
H 0.6605 0.7992 0.3282
H 0.7580 0.2082 0.9525
H 0.7580 0.2918 0.4525
O 0.0447 0.6141 0.4190
O 0.0447 0.8859 0.9190
O 0.0687 0.6462 0.7091
O 0.0687 0.8538 0.2091
O 0.2382 0.6005 0.2361
O 0.2382 0.8995 0.7361
O 0.2426 0.1743 0.9603
O 0.2426 0.3257 0.4603
O 0.2614 0.7071 0.0867
O 0.2614 0.7929 0.5867
O 0.2879 0.1946 0.6053
O 0.2879 0.3054 0.1053
O 0.4112 0.0425 0.1022
O 0.4112 0.4575 0.6022
O 0.4650 0.1922 0.7793
O 0.4650 0.3078 0.2793
O 0.5350 0.6922 0.7207
O 0.5350 0.8078 0.2207
O 0.5888 0.5425 0.3978
O 0.5888 0.9575 0.8978
O 0.7121 0.6946 0.8947
O 0.7121 0.8054 0.3947
O 0.7386 0.2071 0.4133
O 0.7386 0.2929 0.9133
O 0.7574 0.6743 0.5397
O 0.7574 0.8257 0.0397
O 0.7618 0.1005 0.2639
O 0.7618 0.3995 0.7639
O 0.9313 0.1462 0.7909
O 0.9313 0.3538 0.2909
O 0.9553 0.1141 0.0810
O 0.9553 0.3859 0.5810



# 10
Material: SnI
Method: DFT, PBE-GGA
State: relaxed

Results
Uncorrected formation energy: -0.155 eV per atom
Space group: P6_3/m (176)
Crystal system: hexagonal

a = 12.4843 Å, b = 12.4843 Å, c = 3.8744 Å
α = 90.00°, β = 90.00°, γ = 120.00°
Atoms (fractional coordinates):
Sn 0.0711 0.2317 0.2500
Sn 0.1606 0.9289 0.2500
Sn 0.2317 0.1606 0.7500
Sn 0.7683 0.8394 0.2500
Sn 0.8394 0.0711 0.7500
Sn 0.9289 0.7683 0.7500
I 0.1354 0.4417 0.7500
I 0.3063 0.8646 0.7500
I 0.4417 0.3063 0.2500
I 0.5583 0.6937 0.7500
I 0.6937 0.1354 0.2500
I 0.8646 0.5583 0.2500



# 11
Material: V3CuSe
Method: DFT, PBE-GGA
State: relaxed

Results
Uncorrected formation energy: 0.798 eV per atom
Offset from the most stable computed form: 0.000 eV per atom
Space group: Pm-3m (221)
Crystal system: cubic

a = 4.4980 Å, b = 4.4980 Å, c = 4.4980 Å
α = 90.00°, β = 90.00°, γ = 90.00°
Atoms (fractional coordinates):
V 0.0000 0.0000 0.5000
V 0.0000 0.5000 0.0000
V 0.5000 0.0000 0.0000
Cu 0.5000 0.5000 0.5000
Se 0.0000 0.0000 0.0000



# 12
Material: SnGePBr2
Method: DFT, PBE-GGA
State: relaxed

Results
Uncorrected formation energy: 0.224 eV per atom
Space group: P4/mmm (123)
Crystal system: tetragonal

a = 5.2278 Å, b = 5.2278 Å, c = 5.0046 Å
α = 90.00°, β = 90.00°, γ = 90.00°
Atoms (fractional coordinates):
Sn 0.0000 0.0000 0.0000
Ge 0.5000 0.5000 0.5000
P 0.5000 0.5000 0.0000
Br 0.0000 0.5000 0.5000
Br 0.5000 0.0000 0.5000



# 13
Material: NdSiNi6B
Method: DFT, PBE-GGA
State: relaxed

Results
Uncorrected formation energy: -0.121 eV per atom
Space group: Imma (74)
Crystal system: orthorhombic

a = 7.1593 Å, b = 7.1593 Å, c = 7.1593 Å
α = 127.96°, β = 114.04°, γ = 88.71°
Atoms (fractional coordinates):
Nd 0.4328 0.1828 0.2500
Nd 0.5672 0.8172 0.7500
Si 0.0000 0.0000 0.5000
Si 0.0000 0.5000 0.0000
Ni 0.1034 0.3961 0.2544
Ni 0.1034 0.8490 0.7072
Ni 0.1549 0.9049 0.2500
Ni 0.2841 0.5341 0.7500
Ni 0.3582 0.1510 0.7544
Ni 0.3582 0.6039 0.2072
Ni 0.6418 0.3961 0.7928
Ni 0.6418 0.8490 0.2456
Ni 0.7159 0.4659 0.2500
Ni 0.8451 0.0951 0.7500
Ni 0.8966 0.1510 0.2928
Ni 0.8966 0.6039 0.7456
B 0.0000 0.5000 0.5000
B 0.5000 0.5000 0.0000



# 14
Material: Dy3Ho2Th4
Method: DFT, PBE-GGA
State: relaxed

Results
DFT formation energy: 3 kJ/mol of atoms
Space group: C2/m (12)
Crystal system: monoclinic

a = 7.9178 Å, b = 7.9178 Å, c = 8.0139 Å
α = 107.71°, β = 107.71°, γ = 37.06°
Atoms (fractional coordinates):
Dy 0.0000 0.0000 0.0000
Dy 0.1147 0.1147 0.6705
Dy 0.8853 0.8853 0.3295
Ho 0.4411 0.4411 0.6666
Ho 0.5589 0.5589 0.3334
Th 0.2234 0.2234 0.3335
Th 0.3310 0.3310 0.9961
Th 0.6690 0.6690 0.0039
Th 0.7766 0.7766 0.6665



# 15
Material: Li3Au5
Method: DFT, PBE-GGA
State: relaxed

Results
DFT formation energy: -44 kJ/mol of atoms
Offset from the most stable computed form: 0.000 eV per atom
Space group: Cmmm (65)
Crystal system: orthorhombic

a = 5.5321 Å, b = 5.5321 Å, c = 4.3095 Å
α = 90.00°, β = 90.00°, γ = 100.60°
Atoms (fractional coordinates):
Li 0.0000 0.0000 0.0000
Li 0.2746 0.7254 0.5000
Li 0.7254 0.2746 0.5000
Au 0.0000 0.5000 0.0000
Au 0.2132 0.2132 0.5000
Au 0.5000 0.0000 0.0000
Au 0.5000 0.5000 0.0000
Au 0.7868 0.7868 0.5000



# 16
Material: Li2MgSi
Method: DFT, PBE-GGA
State: relaxed

Results
Uncorrected formation energy: -0.073 eV per atom
Space group: Cm (8)
Crystal system: monoclinic

a = 4.8139 Å, b = 4.8139 Å, c = 5.2450 Å
α = 96.08°, β = 96.08°, γ = 34.04°
Atoms (fractional coordinates):
Li 0.0000 0.0000 0.0000
Li 0.2343 0.2343 0.7532
Mg 0.4771 0.4771 0.4765
Si 0.7350 0.7350 0.2275



# 17
Material: Sc6BiSe3S2
Method: DFT, PBE-GGA
State: relaxed

Results
Uncorrected formation energy: -1.496 eV per atom
Space group: C2/m (12)
Crystal system: monoclinic

a = 8.6853 Å, b = 8.6853 Å, c = 7.8173 Å
α = 103.12°, β = 103.12°, γ = 25.76°
Atoms (fractional coordinates):
Sc 0.0135 0.0135 0.2776
Sc 0.3228 0.3228 0.8783
Sc 0.3265 0.3265 0.4289
Sc 0.6735 0.6735 0.5711
Sc 0.6772 0.6772 0.1217
Sc 0.9865 0.9865 0.7224
Bi 0.5000 0.5000 0.0000
Se 0.1614 0.1614 0.8353
Se 0.5000 0.5000 0.5000
Se 0.8386 0.8386 0.1647
S 0.1701 0.1701 0.3421
S 0.8299 0.8299 0.6579



# 18
Material: Tb2Fe15Co2
Method: DFT, PBE-GGA
State: relaxed

Results
DFT formation energy: 0 kJ/mol of atoms
Space group: R-3m (166)
Crystal system: trigonal

a = 6.4004 Å, b = 6.4004 Å, c = 6.4004 Å
α = 82.45°, β = 82.45°, γ = 82.45°
Atoms (fractional coordinates):
Tb 0.1596 0.1596 0.1596
Tb 0.8404 0.8404 0.8404
Fe 0.0000 0.5000 0.5000
Fe 0.1584 0.1584 0.6561
Fe 0.1584 0.6561 0.1584
Fe 0.2022 0.5000 0.7978
Fe 0.2022 0.7978 0.5000
Fe 0.3439 0.8416 0.8416
Fe 0.5000 0.0000 0.5000
Fe 0.5000 0.2022 0.7978
Fe 0.5000 0.5000 0.0000
Fe 0.5000 0.7978 0.2022
Fe 0.6561 0.1584 0.1584
Fe 0.7978 0.2022 0.5000
Fe 0.7978 0.5000 0.2022
Fe 0.8416 0.3439 0.8416
Fe 0.8416 0.8416 0.3439
Co 0.4067 0.4067 0.4067
Co 0.5933 0.5933 0.5933



# 19
Material: RePb2
Method: DFT, PBE-GGA
State: relaxed

Results
DFT formation energy: 120 kJ/mol of atoms
Offset from the most stable computed form: 0.687 eV per atom
Space group: P6_3/mmc (194)
Crystal system: hexagonal

a = 5.0961 Å, b = 5.0961 Å, c = 6.3436 Å
α = 90.00°, β = 90.00°, γ = 120.00°
Atoms (fractional coordinates):
Re 0.3333 0.6667 0.2500
Re 0.6667 0.3333 0.7500
Pb 0.0000 0.0000 0.0000
Pb 0.0000 0.0000 0.5000
Pb 0.3333 0.6667 0.7500
Pb 0.6667 0.3333 0.2500



# 20
Material: MgTiZn2
Method: DFT, PBE-GGA
State: relaxed

Results
DFT formation energy: 0 kJ/mol of atoms
Space group: Cm (8)
Crystal system: monoclinic

a = 2.9314 Å, b = 2.9314 Å, c = 9.5549 Å
α = 100.12°, β = 100.12°, γ = 58.12°
Atoms (fractional coordinates):
Mg 0.0000 0.0000 0.0000
Ti 0.8189 0.8189 0.5005
Zn 0.4106 0.4106 0.2574
Zn 0.5836 0.5836 0.7437



# 21
Material: PmMg2Ru
Method: DFT, PBE-GGA
State: relaxed

Results
DFT formation energy: -15 kJ/mol of atoms
Offset from the most stable computed form: 0.004 eV per atom
Space group: Cmcm (63)
Crystal system: orthorhombic

a = 5.4445 Å, b = 5.4445 Å, c = 8.4627 Å
α = 90.00°, β = 90.00°, γ = 134.64°
Atoms (fractional coordinates):
Pm 0.0594 0.9406 0.7500
Pm 0.9406 0.0594 0.2500
Mg 0.3431 0.6569 0.5567
Mg 0.3431 0.6569 0.9433
Mg 0.6569 0.3431 0.0567
Mg 0.6569 0.3431 0.4433
Ru 0.2355 0.7645 0.2500
Ru 0.7645 0.2355 0.7500



| no. | DOS at the Fermi energy (states/eV per cell) |
| --- | --- |
| 1 | 11.03 |
| 2 | 7.05 |
| 3 | 4.30 |
| 4 | 1.32 |
| 5 | 16.35 |
| 6 | 23.48 |
| 7 | 6.04 |
| 8 | 0.00 |
| 9 | 0.00 |
| 10 | 1.91 |
| 11 | 4.24 |
| 12 | 3.83 |
| 13 | 7.76 |
| 14 | 12.37 |
| 15 | 2.00 |
| 16 | 0.93 |
| 17 | 5.23 |
| 18 | 21.87 |
| 19 | 5.62 |
| 20 | 2.60 |
| 21 | 5.13 |